DFT (PBE+U) results for a geometry-optimized TlV2CuO6 structure.

Computed properties:
Crystal system: monoclinic
Electronic total energy in eV/f.u.: -66.19

Unit cell a=7.970 b=7.970 c=5.993 alpha=104.67 beta=104.67 gamma=94.25
Fractional positions:
Tl (0.123, 0.877, 0.750)
Tl (0.877, 0.123, 0.250)
V (0.229, 0.393, 0.844)
V (0.393, 0.229, 0.344)
V (0.607, 0.771, 0.656)
V (0.771, 0.607, 0.156)
Cu (0.221, 0.779, 0.250)
Cu (0.779, 0.221, 0.750)
O (0.025, 0.274, 0.742)
O (0.215, 0.610, 0.944)
O (0.274, 0.025, 0.242)
O (0.322, 0.356, 0.590)
O (0.356, 0.322, 0.090)
O (0.390, 0.785, 0.556)
O (0.610, 0.215, 0.444)
O (0.644, 0.678, 0.910)
O (0.678, 0.644, 0.410)
O (0.726, 0.975, 0.758)
O (0.785, 0.390, 0.056)
O (0.975, 0.726, 0.258)